First-principles (PBE) data for crystalline Na3PuV2Se6 at its relaxed geometry, as listed in the Alexandria database.

Cell: 6.729 6.729 7.344 Å, 98.91 98.91 120.10°
Site moments in Bohr magnetons follow the coordinates.
Element x y z (fractional)
Na1 0.159 0.841 0.500  0.00
Na2 0.841 0.159 0.500  0.00
Na3 0.500 0.500 0.500  0.00
Pu1 0.000 0.000 0.000  4.97
V1 0.332 0.668 0.000  2.05
V2 0.668 0.332 0.000  2.05
Se1 0.928 0.568 0.786  -0.10
Se2 0.711 0.711 0.212  -0.10
Se3 0.072 0.432 0.214  -0.10
Se4 0.568 0.928 0.786  -0.10
Se5 0.289 0.289 0.788  -0.10
Se6 0.432 0.072 0.214  -0.10

Summary:
spin magnetization	9.00	μB/cell
calculated density	5.4	g/cm³
uncorrected formation energy	-1.0561	eV per atom
DOS at the Fermi energy	15.3	states/eV/cell
total energy	-70.11	eV/cell